Entry P
Cd2BPb | GGA-PBE | optimized geometry

POSCAR file:
```
Cd2BPb
1.0
0.0000 3.5312 3.5312
3.5312 0.0000 3.5312
3.5312 3.5312 0.0000
Pb B Cd
1 1 2
direct
0.5000 0.5000 0.5000
0.0000 0.0000 0.0000
0.2500 0.2500 0.2500
0.7500 0.7500 0.7500
```

Values from the calculation:
Its crystal system is cubic. As for the size of the total moment: 0.00 μB/atom. Its volume is 88.1 Å³/f.u.


Entry Q
Cd2BPb | GGA-PBE | optimized geometry

POSCAR file:
```
Cd2BPb
1.0
5.1944 0.0000 0.0000
0.0000 5.1944 0.0000
2.5972 2.5972 7.3629
Pb B Cd
2 2 4
direct
0.0000 0.0000 0.0000
0.7500 0.2500 0.5000
0.5000 0.5000 0.0000
0.2500 0.7500 0.5000
0.4735 0.1250 0.2500
0.2765 0.6250 0.2500
0.3750 0.5265 0.7500
0.8750 0.7235 0.7500
```

Values from the calculation:
Its crystal system is tetragonal. As for the size of the total moment: 0.00 μB/atom. Its volume is 99.3 Å³/f.u.


Least stable = entry P


Entry P
CdBPd3 | GGA-PBE | optimized geometry

POSCAR file:
```
CdBPd3
1.0
-4.4566 -0.2752 2.1309
-0.8946 -5.2315 -2.5469
2.5213 0.2952 5.3117
Cd B Pd
2 2 6
direct
0.7499 0.6667 0.3334
0.2501 0.3333 0.6666
0.0000 0.0000 0.0000
0.5000 0.0000 0.0000
0.7500 0.6607 0.8304
0.2500 0.8303 0.6607
0.2500 0.3393 0.1696
0.7500 0.1697 0.3393
0.2500 0.8303 0.1696
0.7500 0.1697 0.8304
```

Values from the calculation:
Its crystal system is hexagonal. As for the size of the total moment: 0.00 μB/atom. Its volume is 74.2 Å³/f.u.


Entry Q
CdBPd3 | GGA-PBE | optimized geometry

POSCAR file:
```
CdBPd3
1.0
5.6328 0.1091 1.4825
2.6094 4.9931 1.4825
-0.3702 -0.2292 10.5281
Cd B Pd
4 4 12
direct
0.7817 0.4278 0.8726
0.5722 0.2183 0.6274
0.2183 0.5722 0.1274
0.4278 0.7817 0.3726
0.0000 0.5000 0.5000
0.5000 0.0000 0.0000
0.7552 0.2448 0.2500
0.2448 0.7552 0.7500
0.8179 0.8990 0.8459
0.1010 0.1821 0.6541
0.1821 0.1010 0.1541
0.8990 0.8179 0.3459
0.6067 0.7091 0.6227
0.2909 0.3933 0.8773
0.3933 0.2909 0.3773
0.7091 0.6067 0.1227
0.2738 0.9062 0.9069
0.0938 0.7262 0.5931
0.9062 0.2738 0.4069
0.7262 0.0938 0.0931
```

Values from the calculation:
Its crystal system is monoclinic. As for the size of the total moment: 0.00 μB/atom. Its volume is 74.2 Å³/f.u.


Least stable = entry P


Entry P
CdBPd3 | GGA-PBE | optimized geometry

POSCAR file:
```
CdBPd3
1.0
-4.5878 1.9138 0.2828
-1.6707 -3.5527 -3.0623
-0.9753 -2.9166 3.9157
B Pd Cd
1 3 1
direct
0.5000 0.5000 0.5000
0.0000 0.5000 0.0000
0.0000 0.0000 0.5000
0.5000 0.0000 0.0000
0.0000 0.0000 0.0000
```

Values from the calculation:
Its crystal system is cubic. As for the size of the total moment: 0.00 μB/atom. Its volume is 123.4 Å³/f.u.


Entry Q
CdBPd3 | GGA-PBE | optimized geometry

POSCAR file:
```
CdBPd3
1.0
-0.1638 -1.4708 -3.9504
2.5533 -3.1803 1.0782
-3.3541 -2.3492 1.0137
B Pd Cd
1 3 1
direct
0.0000 0.0000 0.0000
0.0000 0.5000 0.0000
0.0000 0.0000 0.5000
0.5000 0.0000 0.0000
0.5000 0.5000 0.5000
```

Values from the calculation:
Its crystal system is cubic. As for the size of the total moment: 0.00 μB/atom. Its volume is 75.1 Å³/f.u.


Least stable = entry P


Entry P
Cd3BPt | GGA-PBE | optimized geometry

POSCAR file:
```
Cd3BPt
1.0
5.1819 0.0000 0.0000
0.0000 5.1819 0.0000
0.0000 0.0000 5.1819
B Pt Cd
1 1 3
direct
0.5000 0.5000 0.5000
0.0000 0.0000 0.0000
0.0000 0.5000 0.0000
0.0000 0.0000 0.5000
0.5000 0.0000 0.0000
```

Values from the calculation:
Its crystal system is cubic. As for the size of the total moment: 0.00 μB/atom. Its volume is 139.1 Å³/f.u.


Entry Q
Cd3BPt | GGA-PBE | optimized geometry

POSCAR file:
```
Cd3BPt
1.0
4.5054 0.0000 0.0000
0.0000 4.5054 0.0000
0.0000 0.0000 4.5054
B Pt Cd
1 1 3
direct
0.0000 0.0000 0.0000
0.5000 0.5000 0.5000
0.0000 0.5000 0.0000
0.0000 0.0000 0.5000
0.5000 0.0000 0.0000
```

Values from the calculation:
Its crystal system is cubic. As for the size of the total moment: 0.00 μB/atom. Its volume is 91.5 Å³/f.u.


Least stable = entry P


Entry P
CdRe3B | GGA-PBE | optimized geometry

POSCAR file:
```
CdRe3B
1.0
-0.6175 -4.1181 -0.4588
1.8106 0.1491 -3.7749
3.7271 -0.7547 1.7579
Re B Cd
3 1 1
direct
0.0000 0.5000 0.0000
0.0000 0.0000 0.5000
0.5000 0.0000 0.0000
0.0000 0.0000 0.0000
0.5000 0.5000 0.5000
```

Values from the calculation:
Its crystal system is cubic. As for the size of the total moment: 0.00 μB/atom. Its volume is 73.5 Å³/f.u.


Entry Q
CdRe3B | GGA-PBE | optimized geometry

POSCAR file:
```
CdRe3B
1.0
4.8459 0.0000 0.0000
0.0000 4.8459 0.0000
0.0000 0.0000 4.8459
Re B Cd
3 1 1
direct
0.0000 0.5000 0.0000
0.0000 0.0000 0.5000
0.5000 0.0000 0.0000
0.5000 0.5000 0.5000
0.0000 0.0000 0.0000
```

Values from the calculation:
Its crystal system is cubic. As for the size of the total moment: 1.03 μB/atom. Its volume is 113.8 Å³/f.u.


Least stable = entry Q


Entry P
CdReB3 | GGA-PBE | optimized geometry

POSCAR file:
```
CdReB3
1.0
4.1718 0.0000 0.0000
0.0000 4.1718 0.0000
0.0000 0.0000 4.1718
Re B Cd
1 3 1
direct
0.0000 0.0000 0.0000
0.0000 0.5000 0.0000
0.0000 0.0000 0.5000
0.5000 0.0000 0.0000
0.5000 0.5000 0.5000
```

Values from the calculation:
Its crystal system is cubic. As for the size of the total moment: 0.00 μB/atom. Its volume is 72.6 Å³/f.u.


Entry Q
CdReB3 | GGA-PBE | optimized geometry

POSCAR file:
```
CdReB3
1.0
4.1290 0.0000 0.0000
0.0000 4.1290 0.0000
0.0000 0.0000 4.1290
Re B Cd
1 3 1
direct
0.5000 0.5000 0.5000
0.0000 0.5000 0.0000
0.0000 0.0000 0.5000
0.5000 0.0000 0.0000
0.0000 0.0000 0.0000
```

Values from the calculation:
Its crystal system is cubic. As for the size of the total moment: 0.00 μB/atom. Its volume is 70.4 Å³/f.u.


Least stable = entry Q